No. 1
This record from Alexandria describes crystalline PrYErLu at its relaxed geometry. The functional is PBE.

- Crystal system: cubic
- Density: 7.3 g/cm³
- N(E_F): 24.09 states/eV per cell
- Energy relative to the elements: 0.105 eV per atom
- DFT total energy: -4.9772 eV/atom

Cell: 8.0325 8.0325 8.0325 Å, 90.00 90.00 90.00°
Last column: nearest neighbours and their distance in Å.
Space group F-43m (No. 216)
One atom of each set of equivalent atoms:
Pr  0.0000  0.0000  0.0000 [4 per cell]  4 Er 3.48, 4 Lu 3.48
Y  0.0000  0.0000  0.5000 [4 per cell]  4 Er 3.48, 4 Lu 3.48
Er  0.2500  0.2500  0.2500 [4 per cell]  4 Y 3.48, 4 Pr 3.48
Lu  0.2500  0.2500  0.7500 [4 per cell]  4 Pr 3.48, 4 Y 3.48



No. 2
This record from Alexandria describes crystalline PrErLuZn at its relaxed geometry. The functional is PBE.

- Crystal system: cubic
- Density: 8.4 g/cm³
- N(E_F): 17.63 states/eV per cell
- Energy relative to the elements: 0.024 eV per atom
- DFT total energy: -3.7608 eV/atom

Cell: 7.5782 7.5782 7.5782 Å, 90.00 90.00 90.00°
Last column: nearest neighbours and their distance in Å.
Space group F-43m (No. 216)
One atom of each set of equivalent atoms:
Pr  0.0000  0.0000  0.0000 [4 per cell]  4 Zn 3.28, 4 Lu 3.28
Er  0.0000  0.0000  0.5000 [4 per cell]  4 Zn 3.28, 4 Lu 3.28
Lu  0.2500  0.2500  0.7500 [4 per cell]  4 Pr 3.28, 4 Er 3.28
Zn  0.2500  0.2500  0.2500 [4 per cell]  4 Pr 3.28, 4 Er 3.28



> Among the records above, which one has the lowest density?

PrYErLu



> Number 2 is which compound?

PrErLuZn



> Among the records above, which one has the lowest DFT total energy?

PrYErLu



> N(E_F) of number 1 (PrYErLu)?

24.09 states/eV per cell